# 1
Below is a relaxed structure of LaDy2Mg, with properties calculated at the PBE-GGA level.

## Properties
Fermi-level density of states: 1.50 states/eV per atom
distance to the lowest polymorph of the same formula: 79 meV/atom

Lattice parameters (Å, degrees): 3.5586 3.5586 11.5728 81.12 81.12 59.91
Last column: nearest neighbours and their distance in Å.
Atoms (fractional coordinates):
Dy (0.0868, 0.0868, 0.7402)  3 Mg 3.42, 6 Dy 3.55-3.56, 3 La 3.59
Mg (0.4995, 0.4995, 0.5001)  6 Dy 3.41-3.42, 6 Mg 3.55-3.56
La (0.6671, 0.6671, 0.9991)  6 La 3.55-3.56, 6 Dy 3.59-3.62
Dy (0.2466, 0.2466, 0.2607)  3 Mg 3.41, 6 Dy 3.55-3.56, 3 La 3.62

***

# 2
Below is a relaxed structure of La8DyMg2, with properties calculated at the PBE-GGA level.

## Properties
Fermi-level density of states: 1.58 states/eV per atom

Lattice parameters (Å, degrees): 5.2606 8.3950 9.4223 108.41 106.21 90.00
Last column: nearest neighbours and their distance in Å.
Atoms (fractional coordinates):
La (0.3149, 0.0610, 0.6297)  1 Mg 3.42, 8 La 3.45-3.80, 1 Dy 3.55
Dy (0.5000, 0.0000, 0.0000)  12 La 3.55-3.74
La (0.5953, 0.4610, 0.1906)  3 Mg 3.52-3.56, 1 Dy 3.68, 8 La 3.70-3.80
La (0.9505, 0.2648, 0.9011)  1 Mg 3.58, 9 La 3.62-3.76, 2 Dy 3.74
Mg (0.7735, 0.3677, 0.5470)  8 La 3.42-3.58, 2 Mg 3.72
La (0.1396, 0.1925, 0.2791)  3 Mg 3.51-3.55, 2 Dy 3.64, 7 La 3.64-3.72
Mg (0.2265, 0.6323, 0.4530)  8 La 3.42-3.58, 2 Mg 3.72
La (0.8604, 0.8075, 0.7209)  3 Mg 3.51-3.55, 2 Dy 3.64, 7 La 3.64-3.72
La (0.6851, 0.9390, 0.3703)  1 Mg 3.42, 8 La 3.45-3.80, 1 Dy 3.55
La (0.0495, 0.7352, 0.0989)  1 Mg 3.58, 9 La 3.62-3.76, 2 Dy 3.74
La (0.4047, 0.5390, 0.8094)  3 Mg 3.52-3.56, 1 Dy 3.68, 8 La 3.70-3.80

***

# 3
Below is a relaxed structure of LaDyMg, with properties calculated at the PBE-GGA level.

## Properties
Fermi-level density of states: 1.35 states/eV per atom
distance to the lowest polymorph of the same formula: 160 meV/atom

Lattice parameters (Å, degrees): 5.5198 5.5198 8.0541 69.96 69.96 60.00
Last column: nearest neighbours and their distance in Å.
Atoms (fractional coordinates):
Dy (0.2084, 0.2084, 0.3749)  4 Mg 3.20-3.46
Dy (0.7916, 0.7916, 0.6251)  4 Mg 3.20-3.46
Mg (0.9357, 0.9357, 0.1929)  1 Mg 2.85
La (0.6220, 0.6220, 0.1340)  3 Mg 3.22
La (0.3780, 0.3780, 0.8660)  3 Mg 3.22
Mg (0.0643, 0.0643, 0.8071)  1 Mg 2.85

***

# 4
Below is a relaxed structure of LaDy3Mg, with properties calculated at the PBE-GGA level.

## Properties
Fermi-level density of states: 1.31 states/eV per atom
distance to the lowest polymorph of the same formula: 0 meV/atom

Lattice parameters (Å, degrees): 3.7270 6.8548 12.7514 86.42 90.03 74.21
Last column: nearest neighbours and their distance in Å.
Atoms (fractional coordinates):
Dy (0.3666, 0.2659, 0.0236)  9 Dy 3.49-3.73, 3 La 3.70-3.72
La (0.2369, 0.5272, 0.7563)  2 Mg 3.43, 8 Dy 3.56-3.72, 2 La 3.73
Dy (0.9633, 0.0727, 0.8132)  2 Mg 3.31, 5 Dy 3.49-3.57, 2 La 3.56-3.57
Mg (0.5510, 0.8978, 0.6245)  6 Dy 3.27-3.31, 1 Mg 3.37, 2 La 3.43
Dy (0.1487, 0.7020, 0.4459)  4 Mg 3.27-3.31, 3 Dy 3.46-3.53, 2 La 3.59
Dy (0.6334, 0.7341, 0.9764)  9 Dy 3.49-3.73, 3 La 3.70-3.72
La (0.7631, 0.4728, 0.2437)  2 Mg 3.43, 8 Dy 3.56-3.72, 2 La 3.73
Dy (0.0367, 0.9273, 0.1868)  2 Mg 3.31, 5 Dy 3.49-3.57, 2 La 3.56-3.57
Dy (0.8513, 0.2980, 0.5541)  4 Mg 3.27-3.31, 3 Dy 3.46-3.53, 2 La 3.59
Mg (0.4490, 0.1022, 0.3755)  6 Dy 3.27-3.31, 1 Mg 3.37, 2 La 3.43

***

# 5
Below is a relaxed structure of La6DyMg2, with properties calculated at the PBE-GGA level.

## Properties
Fermi-level density of states: 1.48 states/eV per atom

Lattice parameters (Å, degrees): 6.2858 6.2130 8.9366 90.00 90.00 120.39
Last column: nearest neighbours and their distance in Å.
Atoms (fractional coordinates):
La (0.6573, 0.8319, 0.6637)  5 La 3.44-3.72, 4 Mg 3.48-3.66, 1 Dy 3.48
Dy (0.5000, 0.0000, 0.0000)  10 La 3.47-3.67
La (0.3427, 0.1681, 0.6637)  5 La 3.44-3.72, 4 Mg 3.48-3.66, 1 Dy 3.48
La (0.1765, 0.3531, 0.0000)  2 Mg 3.43, 3 Dy 3.47-3.67, 5 La 3.52-3.78
Mg (0.5000, 0.5000, 0.3297)  10 La 3.43-3.66
La (0.8254, 0.1681, 0.3363)  5 La 3.44-3.72, 4 Mg 3.48-3.66, 1 Dy 3.48
La (0.1746, 0.8319, 0.3363)  5 La 3.44-3.72, 4 Mg 3.48-3.66, 1 Dy 3.48
Mg (0.0000, 0.5000, 0.6703)  10 La 3.43-3.66
La (0.8235, 0.6469, 0.0000)  2 Mg 3.43, 3 Dy 3.47-3.67, 5 La 3.52-3.78

***

# 6
Below is a relaxed structure of La6Dy5Mg, with properties calculated at the PBE-GGA level.

## Properties
Fermi-level density of states: 1.48 states/eV per atom

Lattice parameters (Å, degrees): 5.2308 9.6367 9.6367 109.07 105.72 105.72
Last column: nearest neighbours and their distance in Å.
Atoms (fractional coordinates):
Dy (0.5000, 0.1720, 0.8280)  8 La 3.56-3.63, 2 Dy 3.67, 2 Mg 3.76
Dy (0.0000, 0.3357, 0.6643)  8 La 3.59-3.62, 4 Dy 3.67
La (0.7446, 0.2450, 0.2450)  2 Mg 3.56-3.57, 6 Dy 3.61-3.64, 4 La 3.71
La (0.2464, 0.0789, 0.4139)  7 Dy 3.56-3.63, 1 Mg 3.58, 4 La 3.68-3.71
Mg (0.0000, 0.0000, 0.0000)  8 La 3.56-3.58, 4 Dy 3.76
La (0.2554, 0.7550, 0.7550)  2 Mg 3.56-3.57, 6 Dy 3.61-3.64, 4 La 3.71
La (0.7536, 0.5861, 0.9211)  7 Dy 3.56-3.63, 1 Mg 3.58, 4 La 3.68-3.71
Dy (0.5000, 0.5000, 0.5000)  8 La 3.63-3.64, 4 Dy 3.67
Dy (0.5000, 0.8280, 0.1720)  8 La 3.56-3.63, 2 Dy 3.67, 2 Mg 3.76
Dy (0.0000, 0.6643, 0.3357)  8 La 3.59-3.62, 4 Dy 3.67
La (0.2464, 0.4139, 0.0789)  7 Dy 3.56-3.63, 1 Mg 3.58, 4 La 3.68-3.71
La (0.7536, 0.9211, 0.5861)  7 Dy 3.56-3.63, 1 Mg 3.58, 4 La 3.68-3.71

***

| no. | magnetic moment (μB/atom) | calculated formation energy (kJ per mole of atoms) |
| --- | --- | --- |
| 1 | 0.00 | 5.19 |
| 2 | 0.00 | -0.06 |
| 3 | 0.00 | 10.98 |
| 4 | 0.00 | -1.18 |
| 5 | 0.00 | 3.38 |
| 6 | 0.00 | 1.72 |